Record 1
Computed, not measured: a relaxed Zn2Pt2Au crystal at the PBE-GGA level of DFT.

Computed properties:
* total magnetization: 0.0 μB/f.u.
* VASP energy: -18.050 eV per formula unit
* DOS at the Fermi energy: 2.0 states/eV/cell

Cell: 5.266 5.266 5.266 Å, 126.16 126.16 79.63°
Sites, in units of the cell vectors:
Zn 0.250 0.750 0.500
Zn 0.750 0.250 0.500
Pt 0.156 0.156 0.000
Pt 0.844 0.844 0.000
Au 0.500 0.500 0.000

=====

Record 2
Computed, not measured: a relaxed BaPuI5 crystal at the PBE-GGA level of DFT.

Computed properties:
* total magnetization: 5.0 μB/f.u.
* energy relative to the elements, uncorrected: -1311.0 meV/atom
* VASP energy: -33.182 eV per formula unit
* DOS at the Fermi energy: 25.2 states/eV/cell

Cell: 11.608 11.608 7.913 Å, 90.93 90.93 148.14°
Sites, in units of the cell vectors:
Ba 0.174 0.826 0.750
Ba 0.826 0.174 0.250
Pu 0.424 0.576 0.750
Pu 0.576 0.424 0.250
I 0.127 0.873 0.250
I 0.221 0.290 0.399
I 0.290 0.221 0.899
I 0.303 0.685 0.003
I 0.315 0.697 0.497
I 0.685 0.303 0.503
I 0.697 0.315 0.997
I 0.710 0.779 0.101
I 0.779 0.710 0.601
I 0.873 0.127 0.750

=====

Record 3
Computed, not measured: a relaxed La3Tc2Ge4 crystal at the PBE-GGA level of DFT.

Computed properties:
* total magnetization: 0.0 μB/f.u.
* VASP energy: -59.447 eV per formula unit
* DOS at the Fermi energy: 6.4 states/eV/cell

Cell: 6.129 6.129 8.515 Å, 107.15 107.15 42.84°
Sites, in units of the cell vectors:
La 0.000 0.000 0.000
La 0.378 0.378 0.302
La 0.622 0.622 0.698
Tc 0.312 0.312 0.638
Tc 0.688 0.688 0.362
Ge 0.105 0.105 0.405
Ge 0.293 0.293 0.917
Ge 0.707 0.707 0.083
Ge 0.895 0.895 0.595

=====

Record 4
Computed, not measured: a relaxed Cr2GePdC crystal at the PBE-GGA level of DFT.

Computed properties:
* total magnetization: 4.0 μB/f.u.
* VASP energy: -37.434 eV per formula unit
* DOS at the Fermi energy: 3.5 states/eV/cell

Cell: 3.955 3.955 4.172 Å, 90.00 90.00 90.00°
Sites, in units of the cell vectors:
Cr 0.000 0.500 0.000
Cr 0.500 0.000 0.000
Ge 0.000 0.000 0.500
Pd 0.500 0.500 0.500
C 0.500 0.500 0.000

=====

Record 5
Computed, not measured: a relaxed Y5Au crystal at the PBE-GGA level of DFT.

Computed properties:
* total magnetization: 0.0 μB/f.u.
* VASP energy: -36.422 eV per formula unit
* DOS at the Fermi energy: 8.6 states/eV/cell

Cell: 7.925 7.925 4.912 Å, 90.00 90.00 146.28°
Sites, in units of the cell vectors:
Y 0.000 0.000 0.000
Y 0.155 0.845 0.500
Y 0.330 0.670 0.000
Y 0.670 0.330 0.000
Y 0.845 0.155 0.500
Au 0.500 0.500 0.500

=====

Record 6
Computed, not measured: a relaxed TbHoBi crystal at the PBE-GGA level of DFT.

Computed properties:
* total magnetization: 0.0 μB/f.u.
* VASP energy: -13.868 eV per formula unit
* DOS at the Fermi energy: 3.9 states/eV/cell

Cell: 5.250 5.250 3.864 Å, 90.00 90.00 120.00°
Sites, in units of the cell vectors:
Tb 0.000 0.000 0.000
Ho 0.667 0.333 0.533
Bi 0.333 0.667 0.284